(1)
## RbSrN2 (PBE)

Data for crystalline RbSrN2 at its relaxed geometry.

Calculated values
SG = No. 166
total energy = -3.433 eV/atom
formation energy without anion corrections = 5.6 eV per formula unit
magnetic moment = 1.0 μB/f.u.
polymorph energy (0 for the lowest one) = 574.4 meV per atom

Lattice parameters (Å, degrees): 7.9537 7.9537 7.9537 33.13 33.13 33.13
Element x y z (fractional)
Rb  0.0000  0.0000  0.0000
Sr  0.5000  0.5000  0.5000
N  0.4085  0.4085  0.4085
N  0.5915  0.5915  0.5915



(2)
## Dy4HoEr7 (PBE)

Data for crystalline Dy4HoEr7 at its relaxed geometry.

Calculated values
SG = No. 12
total energy = -4.280 eV/atom
magnetic moment = 0.1 μB/f.u.
formation energy from the elements = 297 meV/atom
polymorph energy (0 for the lowest one) = 206.3 meV per atom

Lattice parameters (Å, degrees): 6.6385 6.6385 12.5664 115.30 115.30 51.77
Element x y z (fractional)
Dy  0.0604  0.0604  0.3228
Dy  0.3628  0.3628  0.2245
Dy  0.6372  0.6372  0.7755
Dy  0.9396  0.9396  0.6772
Ho  0.5000  0.5000  0.0000
Er  0.0000  0.0000  0.0000
Er  0.2121  0.2121  0.9241
Er  0.2462  0.2462  0.6823
Er  0.3654  0.3654  0.4985
Er  0.6346  0.6346  0.5015
Er  0.7538  0.7538  0.3177
Er  0.7879  0.7879  0.0759



(3)
## NdDy8Tm4 (PBE)

Data for crystalline NdDy8Tm4 at its relaxed geometry.

Calculated values
SG = No. 166
total energy = -4.373 eV/atom
magnetic moment = 0.0 μB/f.u.
formation energy from the elements = 201 meV/atom

Lattice parameters (Å, degrees): 9.9512 9.9512 9.9512 42.70 42.70 42.70
Element x y z (fractional)
Nd  0.0000  0.0000  0.0000
Dy  0.2507  0.2507  0.6970
Dy  0.2507  0.6970  0.2507
Dy  0.2821  0.2821  0.2821
Dy  0.3030  0.7493  0.7493
Dy  0.6970  0.2507  0.2507
Dy  0.7179  0.7179  0.7179
Dy  0.7493  0.3030  0.7493
Dy  0.7493  0.7493  0.3030
Tm  0.0000  0.0000  0.5000
Tm  0.0000  0.5000  0.0000
Tm  0.5000  0.0000  0.0000
Tm  0.5000  0.5000  0.5000



(4)
## SrCo2H (PBE)

Data for crystalline SrCo2H at its relaxed geometry.

Calculated values
SG = No. 227
total energy = -4.648 eV/atom
magnetic moment = 1.9 μB/f.u.
polymorph energy (0 for the lowest one) = 0.0 meV per atom

Lattice parameters (Å, degrees): 5.4276 5.4276 5.4276 60.00 60.00 60.00
Element x y z (fractional)
Sr  0.1250  0.1250  0.1250
Sr  0.8750  0.8750  0.8750
Co  0.0000  0.5000  0.5000
Co  0.5000  0.0000  0.5000
Co  0.5000  0.5000  0.0000
Co  0.5000  0.5000  0.5000
H  0.3750  0.3750  0.3750
H  0.6250  0.6250  0.6250



(5)
## Be3Nb2Cr (PBE)

Data for crystalline Be3Nb2Cr at its relaxed geometry.

Calculated values
SG = No. 12
total energy = -6.917 eV/atom
magnetic moment = 0.3 μB/f.u.
formation energy from the elements = -93 meV/atom

Lattice parameters (Å, degrees): 4.6634 4.6634 4.7504 119.43 119.43 60.07
Element x y z (fractional)
Be  0.0000  0.0000  0.0000
Be  0.0000  0.5000  0.0000
Be  0.5000  0.0000  0.0000
Nb  0.3728  0.3728  0.6187
Nb  0.6272  0.6272  0.3813
Cr  0.0000  0.0000  0.5000



(6)
## ZrScGaCo (PBE)

Data for crystalline ZrScGaCo at its relaxed geometry.

Calculated values
SG = No. 216
total energy = -6.643 eV/atom
magnetic moment = 0.9 μB/f.u.
formation energy from the elements = -390 meV/atom

Lattice parameters (Å, degrees): 4.6324 4.6324 4.6324 60.00 60.00 60.00
Element x y z (fractional)
Zr  0.0000  0.0000  0.0000
Sc  0.5000  0.5000  0.5000
Ga  0.7500  0.7500  0.7500
Co  0.2500  0.2500  0.2500



(7)
## ReNiW2 (PBE)

Data for crystalline ReNiW2 at its relaxed geometry.

Calculated values
SG = No. 99
total energy = -10.832 eV/atom
magnetic moment = 0.0 μB/f.u.
formation energy from the elements = 202 meV/atom
polymorph energy (0 for the lowest one) = 145.7 meV per atom

Lattice parameters (Å, degrees): 2.6721 2.6721 8.2379 90.00 90.00 90.00
Element x y z (fractional)
Re  0.0000  0.0000  0.0000
Ni  0.5000  0.5000  0.7779
W  0.0000  0.0000  0.5459
W  0.5000  0.5000  0.2677



(8)
## La2MnOsN (PBE)

Data for crystalline La2MnOsN at its relaxed geometry.

Calculated values
SG = No. 123
total energy = -7.459 eV/atom
formation energy without anion corrections = 1.3 eV per formula unit
magnetic moment = 0.0 μB/f.u.

Lattice parameters (Å, degrees): 5.3208 5.3208 3.5366 90.00 90.00 90.00
Element x y z (fractional)
La  0.0000  0.5000  0.0000
La  0.5000  0.0000  0.0000
Mn  0.0000  0.0000  0.0000
Os  0.5000  0.5000  0.5000
N  0.0000  0.0000  0.5000



(9)
## YAl3Co (PBE)

Data for crystalline YAl3Co at its relaxed geometry.

Calculated values
SG = No. 221
total energy = -5.320 eV/atom
magnetic moment = 0.0 μB/f.u.
formation energy from the elements = -361 meV/atom

Lattice parameters (Å, degrees): 4.5098 4.5098 4.5098 90.00 90.00 90.00
Element x y z (fractional)
Y  0.0000  0.0000  0.0000
Al  0.0000  0.5000  0.5000
Al  0.5000  0.0000  0.5000
Al  0.5000  0.5000  0.0000
Co  0.5000  0.5000  0.5000



(10)
## UTiS4 (PBE)

Data for crystalline UTiS4 at its relaxed geometry.

Calculated values
SG = No. 12
total energy = -7.246 eV/atom
formation energy without anion corrections = -7.8 eV per formula unit
magnetic moment = 2.0 μB/f.u.

Lattice parameters (Å, degrees): 7.3551 7.3551 6.3362 113.13 113.13 29.41
Element x y z (fractional)
U  0.0000  0.0000  0.0000
Ti  0.5000  0.5000  0.5000
S  0.1057  0.1057  0.7459
S  0.3890  0.3890  0.7122
S  0.6110  0.6110  0.2878
S  0.8943  0.8943  0.2541



(11)
## GeBi3Os (PBE)

Data for crystalline GeBi3Os at its relaxed geometry.

Calculated values
SG = No. 221
total energy = -3.853 eV/atom
magnetic moment = 2.3 μB/f.u.
formation energy from the elements = 1645 meV/atom
polymorph energy (0 for the lowest one) = 776.4 meV per atom

Lattice parameters (Å, degrees): 5.3805 5.3805 5.3805 90.00 90.00 90.00
Element x y z (fractional)
Ge  0.0000  0.0000  0.0000
Bi  0.0000  0.0000  0.5000
Bi  0.0000  0.5000  0.0000
Bi  0.5000  0.0000  0.0000
Os  0.5000  0.5000  0.5000



(12)
## InS2Br (PBE)

Data for crystalline InS2Br at its relaxed geometry.

Calculated values
SG = No. 166
total energy = -2.798 eV/atom
formation energy without anion corrections = 1.5 eV per formula unit
magnetic moment = 0.0 μB/f.u.
polymorph energy (0 for the lowest one) = 648.8 meV per atom

Lattice parameters (Å, degrees): 5.0354 5.0354 5.0354 68.42 68.42 68.42
Element x y z (fractional)
In  0.0000  0.0000  0.0000
S  0.2025  0.2025  0.2025
S  0.7975  0.7975  0.7975
Br  0.5000  0.5000  0.5000



(13)
## MgTi2Sb2 (PBE)

Data for crystalline MgTi2Sb2 at its relaxed geometry.

Calculated values
SG = No. 127
total energy = -5.396 eV/atom
formation energy without anion corrections = -1.4 eV per formula unit
magnetic moment = 0.0 μB/f.u.
polymorph energy (0 for the lowest one) = 43.2 meV per atom

Lattice parameters (Å, degrees): 7.6392 7.6392 3.6092 90.00 90.00 90.00
Element x y z (fractional)
Mg  0.0000  0.0000  0.0000
Mg  0.5000  0.5000  0.0000
Ti  0.1290  0.3710  0.0000
Ti  0.3710  0.8710  0.0000
Ti  0.6290  0.1290  0.0000
Ti  0.8710  0.6290  0.0000
Sb  0.1630  0.6630  0.5000
Sb  0.3370  0.1630  0.5000
Sb  0.6630  0.8370  0.5000
Sb  0.8370  0.3370  0.5000



(14)
## Th6CdCo2C3 (PBE)

Data for crystalline Th6CdCo2C3 at its relaxed geometry.

Calculated values
SG = No. 12
total energy = -7.383 eV/atom
magnetic moment = 0.0 μB/f.u.
formation energy from the elements = -107 meV/atom

Lattice parameters (Å, degrees): 9.4940 9.4940 7.8426 111.48 111.48 23.17
Element x y z (fractional)
Th  0.0429  0.0429  0.3498
Th  0.3127  0.3127  0.6945
Th  0.3472  0.3472  0.2155
Th  0.6528  0.6528  0.7845
Th  0.6873  0.6873  0.3055
Th  0.9571  0.9571  0.6502
Cd  0.5000  0.5000  0.0000
Co  0.1331  0.1331  0.0463
Co  0.8669  0.8669  0.9537
C  0.1728  0.1728  0.5820
C  0.5000  0.5000  0.5000
C  0.8272  0.8272  0.4180



(15)
## LaCuO3 (PBE)

Data for crystalline LaCuO3 at its relaxed geometry.

Calculated values
SG = No. 63
total energy = -6.177 eV/atom
formation energy without anion corrections = -7.0 eV per formula unit
magnetic moment = 0.0 μB/f.u.

Lattice parameters (Å, degrees): 7.1299 7.1299 4.9021 90.00 90.00 148.47
Element x y z (fractional)
La  0.1476  0.8524  0.7500
La  0.8524  0.1476  0.2500
Cu  0.4638  0.5362  0.7500
Cu  0.5362  0.4638  0.2500
O  0.0000  0.0000  0.0000
O  0.0000  0.0000  0.5000
O  0.0020  0.3801  0.7500
O  0.3801  0.0020  0.2500
O  0.6199  0.9980  0.7500
O  0.9980  0.6199  0.2500



(16)
## Mn2CdAu8 (PBE)

Data for crystalline Mn2CdAu8 at its relaxed geometry.

Calculated values
SG = No. 12
total energy = -4.216 eV/atom
magnetic moment = 8.3 μB/f.u.
formation energy from the elements = -82 meV/atom
polymorph energy (0 for the lowest one) = 0.0 meV per atom

Lattice parameters (Å, degrees): 7.6035 7.6035 6.7237 108.21 108.21 32.10
Element x y z (fractional)
Mn  0.2233  0.2233  0.1469
Mn  0.7767  0.7767  0.8531
Cd  0.5000  0.5000  0.5000
Au  0.0449  0.0449  0.2270
Au  0.1470  0.1470  0.7073
Au  0.3181  0.3181  0.5866
Au  0.3987  0.3987  0.0399
Au  0.6013  0.6013  0.9601
Au  0.6819  0.6819  0.4134
Au  0.8530  0.8530  0.2927
Au  0.9551  0.9551  0.7730



(17)
## SrDyHgPb (PBE)

Data for crystalline SrDyHgPb at its relaxed geometry.

Calculated values
SG = No. 216
total energy = -3.022 eV/atom
magnetic moment = 0.0 μB/f.u.
formation energy from the elements = -448 meV/atom

Lattice parameters (Å, degrees): 5.5400 5.5400 5.5400 60.00 60.00 60.00
Element x y z (fractional)
Sr  0.0000  0.0000  0.0000
Dy  0.5000  0.5000  0.5000
Hg  0.7500  0.7500  0.7500
Pb  0.2500  0.2500  0.2500



(18)
## Ba2SrLa (PBE)

Data for crystalline Ba2SrLa at its relaxed geometry.

Calculated values
SG = No. 119
total energy = -2.436 eV/atom
magnetic moment = 0.1 μB/f.u.
formation energy from the elements = 178 meV/atom
polymorph energy (0 for the lowest one) = 62.9 meV per atom

Lattice parameters (Å, degrees): 7.2621 7.2621 7.2621 131.91 131.91 70.37
Element x y z (fractional)
Ba  0.0000  0.0000  0.0000
Ba  0.7500  0.2500  0.5000
Sr  0.5000  0.5000  0.0000
La  0.2500  0.7500  0.5000



(19)
## AcTl2Cu (PBE)

Data for crystalline AcTl2Cu at its relaxed geometry.

Calculated values
SG = No. 123
total energy = -3.211 eV/atom
magnetic moment = 0.0 μB/f.u.
formation energy from the elements = 23 meV/atom
polymorph energy (0 for the lowest one) = 147.1 meV per atom

Lattice parameters (Å, degrees): 3.6943 3.6943 7.8334 90.00 90.00 90.00
Element x y z (fractional)
Ac  0.0000  0.0000  0.0000
Tl  0.5000  0.5000  0.3055
Tl  0.5000  0.5000  0.6945
Cu  0.0000  0.0000  0.5000



(20)
## Re2WBr (PBE)

Data for crystalline Re2WBr at its relaxed geometry.

Calculated values
SG = No. 225
total energy = -8.607 eV/atom
formation energy without anion corrections = 5.1 eV per formula unit
magnetic moment = 0.0 μB/f.u.
polymorph energy (0 for the lowest one) = 662.1 meV per atom

Lattice parameters (Å, degrees): 4.5101 4.5101 4.5101 60.00 60.00 60.00
Element x y z (fractional)
Re  0.2500  0.2500  0.2500
Re  0.7500  0.7500  0.7500
W  0.0000  0.0000  0.0000
Br  0.5000  0.5000  0.5000



(21)
## BePdCl3 (PBE)

Data for crystalline BePdCl3 at its relaxed geometry.

Calculated values
SG = No. 221
total energy = -2.657 eV/atom
formation energy without anion corrections = 1.2 eV per formula unit
magnetic moment = 0.9 μB/f.u.
polymorph energy (0 for the lowest one) = 477.3 meV per atom

Lattice parameters (Å, degrees): 4.8701 4.8701 4.8701 90.00 90.00 90.00
Element x y z (fractional)
Be  0.0000  0.0000  0.0000
Pd  0.5000  0.5000  0.5000
Cl  0.0000  0.5000  0.5000
Cl  0.5000  0.0000  0.5000
Cl  0.5000  0.5000  0.0000



(22)
## CaP2Br (PBE)

Data for crystalline CaP2Br at its relaxed geometry.

Calculated values
SG = No. 166
total energy = -3.236 eV/atom
formation energy without anion corrections = 1.6 eV per formula unit
magnetic moment = 0.0 μB/f.u.
polymorph energy (0 for the lowest one) = 1220.4 meV per atom

Lattice parameters (Å, degrees): 6.8919 6.8919 6.8919 35.02 35.02 35.02
Element x y z (fractional)
Ca  0.0000  0.0000  0.0000
P  0.2477  0.2477  0.2477
P  0.7523  0.7523  0.7523
Br  0.5000  0.5000  0.5000



(23)
## Sm4TlCo (PBE)

Data for crystalline Sm4TlCo at its relaxed geometry.

Calculated values
SG = No. 14
total energy = -4.790 eV/atom
magnetic moment = 0.0 μB/f.u.
formation energy from the elements = -66 meV/atom
polymorph energy (0 for the lowest one) = 148.7 meV per atom

Lattice parameters (Å, degrees): 7.4328 7.1801 6.9676 90.00 93.78 90.00
Element x y z (fractional)
Sm  0.1359  0.1654  0.1850
Sm  0.1359  0.3346  0.6850
Sm  0.3097  0.6353  0.1024
Sm  0.3097  0.8647  0.6024
Sm  0.6903  0.1353  0.3976
Sm  0.6903  0.3647  0.8976
Sm  0.8641  0.6654  0.3150
Sm  0.8641  0.8346  0.8150
Tl  0.5000  0.0000  0.0000
Tl  0.5000  0.5000  0.5000
Co  0.0000  0.0000  0.5000
Co  0.0000  0.5000  0.0000



(24)
## PmErNiAu (PBE)

Data for crystalline PmErNiAu at its relaxed geometry.

Calculated values
SG = No. 216
total energy = -5.140 eV/atom
magnetic moment = 0.0 μB/f.u.
formation energy from the elements = -547 meV/atom
polymorph energy (0 for the lowest one) = 54.9 meV per atom

Lattice parameters (Å, degrees): 5.0041 5.0041 5.0041 60.00 60.00 60.00
Element x y z (fractional)
Pm  0.0000  0.0000  0.0000
Er  0.5000  0.5000  0.5000
Ni  0.2500  0.2500  0.2500
Au  0.7500  0.7500  0.7500



(25)
## BaTlRe (PBE)

Data for crystalline BaTlRe at its relaxed geometry.

Calculated values
SG = No. 216
total energy = -4.380 eV/atom
magnetic moment = 2.0 μB/f.u.
formation energy from the elements = 1199 meV/atom
polymorph energy (0 for the lowest one) = 294.3 meV per atom

Lattice parameters (Å, degrees): 5.0844 5.0844 5.0844 60.00 60.00 60.00
Element x y z (fractional)
Ba  0.0000  0.0000  0.0000
Tl  0.5000  0.5000  0.5000
Re  0.2500  0.2500  0.2500



(26)
## CaAcDy (PBE)

Data for crystalline CaAcDy at its relaxed geometry.

Calculated values
SG = No. 63
total energy = -3.518 eV/atom
magnetic moment = 0.0 μB/f.u.
formation energy from the elements = 53 meV/atom
polymorph energy (0 for the lowest one) = 0.0 meV per atom

Lattice parameters (Å, degrees): 10.4590 10.4590 6.0367 90.00 90.00 159.15
Element x y z (fractional)
Ca  0.2147  0.7853  0.7500
Ca  0.7853  0.2147  0.2500
Ac  0.1063  0.8937  0.2500
Ac  0.8937  0.1063  0.7500
Dy  0.4512  0.5488  0.2500
Dy  0.5488  0.4512  0.7500